Entry from Alexandria: an optimized crystal structure of Y2MgTe (PBE).

## Properties
Calculated volume in A^3/atom: 29.9
E_form (uncorrected) in eV/atom: -0.34
Polymorph energy (0 for the lowest one) in meV per atom: 280
Total moment in μB per cell: 1.91
E in eV per cell: -76.13

The structure in CIF format:
```
data_Y2MgTe
_chemical_formula_sum 'Y8 Mg4 Te4'
_symmetry_space_group_name_H-M 'I -4 2 d'
_symmetry_Int_Tables_number 122
_symmetry_space_group_name_Hall 'I -4 2bw'
_cell_length_a 8.440
_cell_length_b 8.440
_cell_length_c 6.725
_cell_angle_alpha 90.00
_cell_angle_beta 90.00
_cell_angle_gamma 90.00
loop_
_atom_site_label
_atom_site_type_symbol
_atom_site_fract_x
_atom_site_fract_y
_atom_site_fract_z
Y1 Y 0.236 0.250 0.125
Mg1 Mg 0.000 0.000 0.500
Te1 Te 0.000 0.000 0.000
```